1.
LaScRu3 after structural relaxation, computed with PBE.

a = 4.791 Å, b = 4.791 Å, c = 4.791 Å
α = 90.00°, β = 90.00°, γ = 90.00°
Fractional coordinates of all 5 atoms:
La: 0.000 0.000 0.000
Sc: 0.500 0.500 0.500
Ru: 0.000 0.000 0.500
Ru: 0.000 0.500 0.000
Ru: 0.500 0.000 0.000

Computed properties:
The calculation puts the energy at -6.5555 eV per atom. Its space-group type is Pm-3m. Its formation energy is 1262 meV/atom. Its calculated volume is 22.0 A^3/atom. The calculation puts the energy relative to the lowest polymorph listed for this composition at 0.595 eV per atom. As for the size of the total moment: 0.77 μB per formula unit.

---

2.
LaScRu3 after structural relaxation, computed with PBE.

a = 4.730 Å, b = 4.730 Å, c = 4.730 Å
α = 90.00°, β = 90.00°, γ = 90.00°
Fractional coordinates of all 5 atoms:
La: 0.000 0.000 0.000
Sc: 0.500 0.500 0.500
Ru: 0.000 0.500 0.500
Ru: 0.500 0.000 0.500
Ru: 0.500 0.500 0.000

Computed properties:
The calculation puts the energy at -7.1510 eV per atom. Its space-group type is Pm-3m. Its formation energy is 666 meV/atom. Its calculated volume is 21.2 A^3/atom. The calculation puts the energy relative to the lowest polymorph listed for this composition at 0.000 eV per atom. As for the size of the total moment: 0.00 μB per formula unit.

---

3.
La2ScSnRu after structural relaxation, computed with PBE.

a = 5.403 Å, b = 5.403 Å, c = 5.094 Å
α = 90.00°, β = 90.00°, γ = 90.00°
Fractional coordinates of all 5 atoms:
La: 0.000 0.500 0.000
La: 0.500 0.000 0.000
Sc: 0.000 0.000 0.500
Sn: 0.500 0.500 0.500
Ru: 0.000 0.000 0.000

Computed properties:
The calculation puts the energy at -6.2771 eV per atom. Its space-group type is P4/mmm. Its formation energy is -384 meV/atom. Its calculated volume is 29.7 A^3/atom. As for the size of the total moment: 0.00 μB per formula unit.